! SeCl2 | Alexandria | PBE | optimized geometry; values from VASP
&SYSTEM
  ibrav = 0, nat = 3, ntyp = 2
/
ATOMIC_SPECIES
Se 78.96 Se.upf
Cl 35.45 Cl.upf
ATOMIC_POSITIONS crystal
Se 0.0000 0.0000 0.0000
Cl 0.3669 0.3669 0.0000
Cl 0.6331 0.6331 0.0000
CELL_PARAMETERS angstrom
-1.6007 1.6007 6.6764
1.6007 -1.6007 6.6764
1.6007 1.6007 -6.6764
! D(E_F)   3.55 states/eV per cell
! Space-group type   I4/mmm
! M_tot   0.00 μB/f.u.
! Raw total energy   -1.850 eV per atom